Record 1
Below is crystalline MnV12Si3 at its relaxed geometry, with properties calculated at the PBE level.

The space group is Pmmm (No. 47) and the conventional cell measures 4.6872, 4.6931 and 9.3886 Å, with angles of 90.00, 90.00 and 90.00 degrees. The asymmetric unit holds Mn at (0.0000, 0.0000, 0.0000), V at (0.0000, 0.5000, 0.1195), V at (0.0000, 0.5000, 0.3710), V at (0.2465, 0.0000, 0.2459), V at (0.5000, 0.2471, 0.0000), V at (0.5000, 0.2555, 0.5000), Si at (0.0000, 0.0000, 0.5000) and Si at (0.5000, 0.5000, 0.2509).

Its raw formation energy is -0.39 eV per atom. The value obtained for the final energy is -8.819 eV per atom. The density of states at the Fermi level is 16.45 states/eV/cell.


Record 2
Below is crystalline HoNi5Ir at its relaxed geometry, with properties calculated at the PBE level.

The space group is Pnma (No. 62) and the conventional cell measures 7.8783, 4.8482 and 9.8910 Å, with angles of 90.00, 90.00 and 90.00 degrees. The asymmetric unit holds Ho at (0.2441, 0.2500, 0.0598), Ni at (0.0603, 0.7500, 0.0921), Ni at (0.0675, 0.0056, 0.3085), Ni at (0.0998, 0.2500, 0.5206), Ni at (0.1816, 0.2500, 0.7583) and Ir at (0.1472, 0.7500, 0.8517).

The value obtained for the final energy is -6.317 eV per atom. The density of states at the Fermi level is 38.22 states/eV/cell.


Record 3
Below is crystalline V2NiIr9 at its relaxed geometry, with properties calculated at the PBE level.

The space group is P4/mmm (No. 123) and the conventional cell measures 3.8299, 3.8299 and 11.4868 Å, with angles of 90.00, 90.00 and 90.00 degrees. The asymmetric unit holds V at (0.0000, 0.0000, 0.1722), Ni at (0.0000, 0.0000, 0.5000), Ir at (0.0000, 0.5000, 0.0000), Ir at (0.0000, 0.5000, 0.3313), Ir at (0.5000, 0.5000, 0.1662) and Ir at (0.5000, 0.5000, 0.5000).

The value obtained for the final energy is -8.956 eV per atom. The density of states at the Fermi level is 14.03 states/eV/cell.